(1)
Here is an optimized crystal structure of CrReOs3 from Alexandria via LeMat-Bulk. Energies are from PBE.

a b c (Å): 4.7019 4.7019 4.7019
angles (deg): 90.00 90.00 90.00
Closest atoms and distances in Å follow each position.
Positions (direct):
1 Cr 0.0000 0.0000 0.0000  12 Os 3.32
2 Re 0.5000 0.5000 0.5000  6 Os 2.35
3 Os 0.0000 0.5000 0.5000  2 Re 2.35
4 Os 0.5000 0.0000 0.5000  2 Re 2.35
5 Os 0.5000 0.5000 0.0000  2 Re 2.35

Values from the calculation:
The density of states at the Fermi level is 7.40 states/eV/cell. The formation enthalpy at 0 K is 51.702 kcal/mol of atoms. The energy above the lowest structure with this stoichiometry comes out at 1.37 eV per formula unit. The density comes out at 12.92 g/cm³.

(2)
Here is an optimized crystal structure of LiAcGa2Ir2 from Alexandria via LeMat-Bulk. Energies are from PBE.

a b c (Å): 4.3394 4.3394 7.1402
angles (deg): 90.00 90.00 120.00
Closest atoms and distances in Å follow each position.
Positions (direct):
1 Li 0.0000 0.0000 0.0000  6 Ga 2.74, 6 Ir 2.92
2 Ac 0.0000 0.0000 0.5000  6 Ir 3.26, 6 Ga 3.51, 2 Li 3.57
3 Ga 0.3333 0.6667 0.8435  4 Ir 2.53-2.61, 3 Li 2.74
4 Ga 0.6667 0.3333 0.1565  4 Ir 2.53-2.61, 3 Li 2.74
5 Ir 0.3333 0.6667 0.2089  4 Ga 2.53-2.61
6 Ir 0.6667 0.3333 0.7911  4 Ga 2.53-2.61

Values from the calculation:
The density of states at the Fermi level is 2.22 states/eV/cell. The formation enthalpy at 0 K is -14.449 kcal/mol of atoms. The density comes out at 10.81 g/cm³.

(3)
Here is an optimized crystal structure of LaBr2N from Alexandria via LeMat-Bulk. Energies are from PBE.

a b c (Å): 5.1051 5.1051 5.1051
angles (deg): 60.00 60.00 60.00
Closest atoms and distances in Å follow each position.
Positions (direct):
1 La 0.0000 0.0000 0.0000  8 Br 3.13
2 Br 0.2500 0.2500 0.2500  4 La 3.13, 4 N 3.13
3 Br 0.7500 0.7500 0.7500  4 La 3.13, 4 N 3.13
4 N 0.5000 0.5000 0.5000  8 Br 3.13

Values from the calculation:
The density of states at the Fermi level is 5.19 states/eV/cell. The energy above the lowest structure with this stoichiometry comes out at 0.00 eV per formula unit. For the uncorrected formation energy, the calculation gives -6.1 kcal/mol of atoms. The density comes out at 5.52 g/cm³.

(4)
Here is an optimized crystal structure of TaFe4Re from Alexandria via LeMat-Bulk. Energies are from PBE.

a b c (Å): 4.7435 4.7435 4.7435
angles (deg): 60.00 60.00 60.00
Closest atoms and distances in Å follow each position.
Positions (direct):
1 Ta 0.0000 0.0000 0.0000  12 Fe 2.78, 4 Re 2.90
2 Fe 0.3752 0.3752 0.3752  6 Fe 2.37-2.38
3 Fe 0.3752 0.3752 0.8743  6 Fe 2.37-2.38
4 Fe 0.3752 0.8743 0.3752  6 Fe 2.37-2.38
5 Fe 0.8743 0.3752 0.3752  6 Fe 2.37-2.38
6 Re 0.7500 0.7500 0.7500  12 Fe 2.78, 4 Ta 2.90

Values from the calculation:
The density of states at the Fermi level is 9.28 states/eV/cell. The formation enthalpy at 0 K is -2.280 kcal/mol of atoms. The density comes out at 12.99 g/cm³.

(5)
Here is an optimized crystal structure of Sn3Sb8 from Alexandria via LeMat-Bulk. Energies are from PBE.

a b c (Å): 4.4361 4.4361 20.2543
angles (deg): 96.13 96.13 59.71
Closest atoms and distances in Å follow each position.
Positions (direct):
1 Sn 0.0000 0.0000 0.0000  6 Sb 3.15-3.16
2 Sn 0.2795 0.2795 0.8307  5 Sb 2.99-3.33
3 Sn 0.7205 0.7205 0.1693  5 Sb 2.99-3.33
4 Sb 0.0945 0.0945 0.2766  3 Sb 2.96-2.98
5 Sb 0.1774 0.1774 0.5378  3 Sb 2.96-2.98
6 Sb 0.3638 0.3638 0.0917  6 Sn 2.99-3.16
7 Sb 0.4491 0.4491 0.3523  3 Sb 2.96-2.98
8 Sb 0.5509 0.5509 0.6477  3 Sb 2.96-2.98
9 Sb 0.6362 0.6362 0.9083  6 Sn 2.99-3.16
10 Sb 0.8226 0.8226 0.4622  3 Sb 2.96-2.98
11 Sb 0.9055 0.9055 0.7234  3 Sb 2.96-2.98

Values from the calculation:
The density of states at the Fermi level is 1.22 states/eV/cell. For the uncorrected formation energy, the calculation gives 0.0 kcal/mol of atoms. The density comes out at 6.47 g/cm³.

(6)
Here is an optimized crystal structure of Sn2Te4Au from Alexandria via LeMat-Bulk. Energies are from PBE.

a b c (Å): 8.4169 8.4169 8.4169
angles (deg): 141.30 141.30 55.88
Closest atoms and distances in Å follow each position.
Positions (direct):
1 Sn 0.1126 0.1126 0.0000  1 Te 2.85
2 Sn 0.8874 0.8874 0.0000  1 Te 2.85
3 Te 0.0000 0.5000 0.5000  2 Au 2.79
4 Te 0.3044 0.3044 0.0000  1 Sn 2.85, 1 Au 2.91
5 Te 0.5000 0.0000 0.5000  2 Au 2.79
6 Te 0.6956 0.6956 0.0000  1 Sn 2.85, 1 Au 2.91
7 Au 0.5000 0.5000 0.0000  6 Te 2.79-2.91

Values from the calculation:
The density of states at the Fermi level is 6.66 states/eV/cell. The energy above the lowest structure with this stoichiometry comes out at 1.33 eV per formula unit. For the uncorrected formation energy, the calculation gives 2.8 kcal/mol of atoms. The density comes out at 6.78 g/cm³.

(7)
Here is an optimized crystal structure of Pm3Er5In from Alexandria via LeMat-Bulk. Energies are from PBE.

a b c (Å): 7.2631 7.2631 12.4793
angles (deg): 95.18 95.18 71.32
Closest atoms and distances in Å follow each position.
Positions (direct):
1 Pm 0.0000 0.0000 0.0000  2 Er 2.76
2 Pm 0.0000 0.0000 0.5000  2 In 3.03, 2 Pm 3.18
3 Pm 0.0492 0.0492 0.2549  2 Pm 3.17-3.18, 1 In 3.22, 2 Er 3.45
4 Pm 0.3366 0.3366 0.4548  1 In 3.27, 2 Er 3.62
5 Pm 0.6634 0.6634 0.5452  1 In 3.27, 2 Er 3.62
6 Pm 0.9508 0.9508 0.7451  2 Pm 3.17-3.18, 1 In 3.22, 2 Er 3.45
7 Er 0.0960 0.4856 0.1956  1 In 3.07, 3 Er 3.18-3.44
8 Er 0.2521 0.2521 0.9512  1 Pm 3.10, 6 Er 3.18-3.45
9 Er 0.3255 0.6745 0.0000  1 Pm 2.76, 1 Er 2.96
10 Er 0.4543 0.4543 0.7459  1 In 3.00
11 Er 0.4856 0.0960 0.1956  1 In 3.07, 3 Er 3.18-3.44
12 Er 0.5144 0.9040 0.8044  1 In 3.07, 3 Er 3.18-3.44
13 Er 0.5457 0.5457 0.2541  1 In 3.00
14 Er 0.6745 0.3255 0.0000  1 Pm 2.76, 1 Er 2.96
15 Er 0.7479 0.7479 0.0488  1 Pm 3.10, 6 Er 3.18-3.45
16 Er 0.9040 0.5144 0.8044  1 In 3.07, 3 Er 3.18-3.44
17 In 0.2037 0.2037 0.6712  3 Er 3.00-3.07, 3 Pm 3.03-3.27
18 In 0.7963 0.7963 0.3288  3 Er 3.00-3.07, 3 Pm 3.03-3.27

Values from the calculation:
The density of states at the Fermi level is 25.34 states/eV/cell. The formation enthalpy at 0 K is 6.790 kcal/mol of atoms. The density comes out at 7.43 g/cm³.

(8)
Here is an optimized crystal structure of CsUCoN3 from Alexandria via LeMat-Bulk. Energies are from PBE.

a b c (Å): 8.2858 3.5392 8.4354
angles (deg): 90.00 111.78 90.00
Closest atoms and distances in Å follow each position.
Positions (direct):
1 Cs 0.2163 0.2500 0.2500  7 N 3.27-3.51, 3 Co 3.51-3.62, 2 Cs 3.54
2 Cs 0.7837 0.7500 0.7500  7 N 3.27-3.51, 3 Co 3.51-3.62, 2 Cs 3.54
3 U 0.3276 0.7500 0.8493  6 N 2.19-2.27
4 U 0.6724 0.2500 0.1507  6 N 2.19-2.27
5 Co 0.0660 0.2500 0.6023  4 N 1.85-1.93
6 Co 0.9340 0.7500 0.3977  4 N 1.85-1.93
7 N 0.1466 0.7500 0.5782  3 Co 1.85-1.93
8 N 0.1713 0.2500 0.8478  1 Co 1.93
9 N 0.4937 0.7500 0.1258  3 U 2.23-2.27
10 N 0.5063 0.2500 0.8742  3 U 2.23-2.27
11 N 0.8287 0.7500 0.1522  1 Co 1.93
12 N 0.8534 0.2500 0.4218  3 Co 1.85-1.93

Values from the calculation:
The density of states at the Fermi level is 3.35 states/eV/cell. For the uncorrected formation energy, the calculation gives -15.2 kcal/mol of atoms. The density comes out at 6.82 g/cm³.

(9)
Here is an optimized crystal structure of NaDy3Fe from Alexandria via LeMat-Bulk. Energies are from PBE.

a b c (Å): 5.2807 5.2807 5.2807
angles (deg): 90.00 90.00 90.00
Closest atoms and distances in Å follow each position.
Positions (direct):
1 Na 0.0000 0.0000 0.0000  12 Dy 3.73
2 Dy 0.0000 0.5000 0.5000  2 Fe 2.64
3 Dy 0.5000 0.0000 0.5000  2 Fe 2.64
4 Dy 0.5000 0.5000 0.0000  2 Fe 2.64
5 Fe 0.5000 0.5000 0.5000  6 Dy 2.64

Values from the calculation:
The density of states at the Fermi level is 5.05 states/eV/cell. The formation enthalpy at 0 K is 3.338 kcal/mol of atoms. The density comes out at 6.39 g/cm³.

(10)
Here is an optimized crystal structure of TbNd2Zn from Alexandria via LeMat-Bulk. Energies are from PBE.

a b c (Å): 9.4943 9.4943 9.4943
angles (deg): 148.45 148.45 45.22
Closest atoms and distances in Å follow each position.
Positions (direct):
1 Tb 0.1498 0.1498 0.0000  4 Zn 3.12
2 Tb 0.8502 0.8502 0.0000  4 Zn 3.12
3 Nd 0.0000 0.5000 0.5000  8 Nd 3.62-3.65, 4 Tb 3.68
4 Nd 0.3550 0.3550 0.0000  4 Zn 3.17
5 Nd 0.5000 0.0000 0.5000  8 Nd 3.62-3.65, 4 Tb 3.68
6 Nd 0.6450 0.6450 0.0000  4 Zn 3.17
7 Zn 0.2500 0.7500 0.5000  4 Tb 3.12, 4 Nd 3.17
8 Zn 0.7500 0.2500 0.5000  4 Tb 3.12, 4 Nd 3.17

Values from the calculation:
The density of states at the Fermi level is 9.17 states/eV/cell. The formation enthalpy at 0 K is -3.557 kcal/mol of atoms. The energy above the lowest structure with this stoichiometry comes out at 0.00 eV per formula unit. The density comes out at 7.29 g/cm³.